No. 1
Crystalline Al2OsPt at its relaxed geometry. Source: Alexandria, functional PBE-GGA.

a = 8.279 Å, b = 2.935 Å, c = 4.964 Å
α = 90.00°, β = 102.40°, γ = 90.00°
Space group C2/m (No. 12)
Unique sites:
Al1 0.248 0.000 0.240 [4 per cell]
Os1 0.000 0.500 0.000 [2 per cell]
Pt1 0.000 0.000 0.500 [2 per cell]

Summary:
The calculation puts the formation energy at -0.4325 eV/atom. Its magnetic moment is 0.0 Bohr magnetons per cell. As for the density of states at the Fermi level: 5.7 states/eV per cell.


No. 2
Crystalline Al5Os4Pt at its relaxed geometry. Source: Alexandria, functional PBE-GGA.

a = 3.045 Å, b = 3.045 Å, c = 14.970 Å
α = 90.00°, β = 90.00°, γ = 90.00°
Space group P4/mmm (No. 123)
Unique sites:
Al1 0.000 0.000 0.000 [1 per cell]
Al2 0.000 0.000 0.199 [2 per cell]
Al3 0.000 0.000 0.392 [2 per cell]
Os1 0.500 0.500 0.099 [2 per cell]
Os2 0.500 0.500 0.299 [2 per cell]
Pt1 0.500 0.500 0.500 [1 per cell]

Summary:
The calculation puts the formation energy at -0.5296 eV/atom. Its magnetic moment is 0.0 Bohr magnetons per cell. As for the density of states at the Fermi level: 7.6 states/eV per cell.


No. 3
Crystalline TaAlOsPt2 at its relaxed geometry. Source: Alexandria, functional PBE-GGA.

a = 4.887 Å, b = 4.887 Å, c = 4.748 Å
α = 90.00°, β = 90.00°, γ = 90.00°
Space group P4/mmm (No. 123)
Unique sites:
Ta1 0.000 0.000 0.000 [1 per cell]
Al1 0.500 0.500 0.500 [1 per cell]
Os1 0.000 0.000 0.500 [1 per cell]
Pt1 0.000 0.500 0.000 [2 per cell]

Summary:
The calculation puts the formation energy at 1.2999 eV/atom. Its magnetic moment is 0.5 Bohr magnetons per cell. As for the density of states at the Fermi level: 5.9 states/eV per cell.


No. 4
Crystalline Th2Al4OsPt3 at its relaxed geometry. Source: Alexandria, functional PBE-GGA.

a = 4.312 Å, b = 4.312 Å, c = 10.230 Å
α = 90.00°, β = 90.00°, γ = 90.00°
Space group P-4m2 (No. 115)
Unique sites:
Th1 0.000 0.500 0.239 [2 per cell]
Al1 0.000 0.000 0.500 [1 per cell]
Al2 0.000 0.500 0.874 [2 per cell]
Al3 0.500 0.500 0.500 [1 per cell]
Os1 0.500 0.500 0.000 [1 per cell]
Pt1 0.000 0.000 0.000 [1 per cell]
Pt2 0.000 0.500 0.633 [2 per cell]

Summary:
The calculation puts the formation energy at -0.9783 eV/atom. Its magnetic moment is 0.0 Bohr magnetons per cell. As for the density of states at the Fermi level: 8.3 states/eV per cell.


No. 5
Crystalline Al2ZnOsPt at its relaxed geometry. Source: Alexandria, functional PBE-GGA.

a = 4.410 Å, b = 4.410 Å, c = 4.517 Å
α = 90.00°, β = 90.00°, γ = 90.00°
Space group P4/mmm (No. 123)
Unique sites:
Al1 0.000 0.500 0.000 [2 per cell]
Zn1 0.000 0.000 0.000 [1 per cell]
Os1 0.000 0.000 0.500 [1 per cell]
Pt1 0.500 0.500 0.500 [1 per cell]

Summary:
The calculation puts the formation energy at 0.9900 eV/atom. Its magnetic moment is 0.0 Bohr magnetons per cell. As for the density of states at the Fermi level: 2.5 states/eV per cell.


No. 6
Crystalline AlZnOsPt2 at its relaxed geometry. Source: Alexandria, functional PBE-GGA.

a = 4.522 Å, b = 4.522 Å, c = 4.357 Å
α = 90.00°, β = 90.00°, γ = 90.00°
Space group P4/mmm (No. 123)
Unique sites:
Al1 0.000 0.000 0.000 [1 per cell]
Zn1 0.000 0.000 0.500 [1 per cell]
Os1 0.500 0.500 0.000 [1 per cell]
Pt1 0.000 0.500 0.500 [2 per cell]

Summary:
The calculation puts the formation energy at 1.1644 eV/atom. Its magnetic moment is 1.0 Bohr magnetons per cell. As for the density of states at the Fermi level: 3.8 states/eV per cell.


Q: magnetic moment of number 6 (AlZnOsPt2)?
A: 1.0 Bohr magnetons per cell